(1)
{"formula": "Pm5Sm12Y2", "functional": "PBE-GGA", "state": "optimized geometry", "dft_energy_ev_per_atom": -4.739, "sg": "C2/m, No. 12", "formation_energy_kj_per_mol_atoms": 17, "e_above_lowest_polymorph_mev_per_atom": 37.6, "cell": [[-4.404, -5.549, -0.680], [2.921, 1.091, 9.417], [-7.471, 5.264, 5.429]], "species": ["Pm", "Pm", "Pm", "Pm", "Pm", "Sm", "Sm", "Sm", "Sm", "Sm", "Sm", "Sm", "Sm", "Sm", "Sm", "Sm", "Sm", "Y", "Y"], "frac_coords": [[0.677, 0.354, 0.789], [0.000, 0.000, 0.500], [0.323, 0.646, 0.211], [0.187, 0.375, 0.815], [0.813, 0.625, 0.185], [0.499, 0.998, 0.675], [0.582, 0.669, 0.525], [0.087, 0.669, 0.525], [0.913, 0.331, 0.475], [0.406, 0.319, 0.129], [0.087, 0.681, 0.871], [0.913, 0.319, 0.129], [0.594, 0.681, 0.871], [0.418, 0.331, 0.475], [0.027, 0.054, 0.750], [0.973, 0.946, 0.250], [0.501, 0.002, 0.325], [0.730, 0.000, 0.000], [0.270, 0.000, 0.000]]}

---

(2)
{"formula": "AcLa2TbY", "functional": "PBE-GGA", "state": "optimized geometry", "dft_energy_ev_per_atom": -4.665, "sg": "Cmcm, No. 63", "formation_energy_kj_per_mol_atoms": 33, "cell": [[-4.572, 2.587, 5.314], [3.360, -5.466, 5.552], [2.531, 6.926, -1.195]], "species": ["La", "La", "La", "La", "Tb", "Tb", "Y", "Y", "Ac", "Ac"], "frac_coords": [[0.000, 0.696, 0.000], [0.000, 0.304, 0.000], [0.500, 0.696, 0.000], [0.500, 0.304, 0.000], [0.750, 0.698, 0.397], [0.250, 0.302, 0.603], [0.250, 0.048, 0.097], [0.750, 0.952, 0.903], [0.250, 0.760, 0.520], [0.750, 0.240, 0.480]]}

---

(3)
{"formula": "HgPt4Br", "functional": "PBE-GGA", "state": "optimized geometry", "dft_energy_ev_per_atom": -3.923, "sg": "F-43m, No. 216", "cell": [[-4.185, -1.321, -3.186], [-4.950, 1.932, 1.086], [-2.225, 3.735, -3.243]], "species": ["Pt", "Pt", "Pt", "Pt", "Hg", "Br"], "frac_coords": [[0.374, 0.374, 0.374], [0.374, 0.877, 0.374], [0.374, 0.374, 0.877], [0.877, 0.374, 0.374], [0.000, 0.000, 0.000], [0.750, 0.750, 0.750]]}

---

(4)
{"formula": "TbHo3Tm3Te8", "functional": "PBE-GGA", "state": "optimized geometry", "dft_energy_ev_per_atom": -5.110, "sg": "R-3m, No. 166", "cell": [[8.611, 0.000, 0.000], [-4.306, 7.457, -0.026], [0.000, -4.947, 7.042]], "species": ["Tb", "Tm", "Tm", "Tm", "Te", "Te", "Te", "Te", "Te", "Te", "Te", "Te", "Ho", "Ho", "Ho"], "frac_coords": [[0.000, 0.000, 0.500], [0.500, 0.000, 0.500], [0.500, 0.500, 0.500], [0.000, 0.500, 0.500], [0.251, 0.502, 0.253], [0.749, 0.498, 0.747], [0.742, 0.484, 0.244], [0.742, 0.002, 0.244], [0.258, 0.998, 0.756], [0.740, 0.998, 0.756], [0.258, 0.516, 0.756], [0.260, 0.002, 0.244], [0.000, 0.500, 0.000], [0.000, 0.000, 0.000], [0.500, 0.500, 0.000]]}

---

Question: Which formula does entry 3 have?
Answer: HgPt4Br